Th2VGa after structural relaxation, computed with PBE-GGA.

Geometry as POSCAR:
```
Th2VGa
1.0
1.652 0.954 10.664
-1.652 0.954 10.664
0.000 -1.907 10.664
Th V Ga
2 1 1
Direct
0.086 0.086 0.086
0.914 0.914 0.914
0.000 0.000 0.000
0.500 0.500 0.500
```

Energy of formation: 0.466 eV/atom
Total magnetic moment: 2.30 Bohr magnetons per cell

=====

TlSnCl3 after structural relaxation, computed with PBE-GGA.

Geometry as POSCAR:
```
TlSnCl3
1.0
4.701 0.000 0.000
0.000 4.701 0.000
0.000 0.000 7.975
Tl Sn Cl
1 1 3
Direct
0.000 0.000 0.000
0.500 0.500 0.454
0.000 0.000 0.620
0.000 0.500 0.262
0.500 0.000 0.262
```

Raw formation energy: -83 kJ per mole of atoms
Total magnetic moment: 0.00 Bohr magnetons per cell

=====

La8SiS3Br4 after structural relaxation, computed with PBE-GGA.

Geometry as POSCAR:
```
La8SiS3Br4
1.0
4.214 2.433 7.372
-4.214 2.433 7.372
0.000 -4.866 7.372
La Si S Br
8 1 3 4
Direct
0.230 0.739 0.739
0.235 0.235 0.235
0.261 0.261 0.770
0.261 0.770 0.261
0.739 0.230 0.739
0.739 0.739 0.230
0.765 0.765 0.765
0.770 0.261 0.261
0.500 0.500 0.500
0.000 0.000 0.500
0.000 0.500 0.000
0.500 0.000 0.000
0.000 0.000 0.000
0.000 0.500 0.500
0.500 0.000 0.500
0.500 0.500 0.000
```

Raw formation energy: -157 kJ per mole of atoms
Total magnetic moment: 0.00 Bohr magnetons per cell

=====

HgTe2Se after structural relaxation, computed with PBE-GGA.

Geometry as POSCAR:
```
HgTe2Se
1.0
-2.055 2.055 8.578
2.055 -2.055 8.578
2.055 2.055 -8.578
Hg Te Se
1 2 1
Direct
0.000 0.000 0.000
0.250 0.750 0.500
0.750 0.250 0.500
0.500 0.500 0.000
```

Raw formation energy: 18 kJ per mole of atoms
Distance to the lowest polymorph of the same formula: 184 meV per atom
Total magnetic moment: 0.00 Bohr magnetons per cell

=====

CsTa3N after structural relaxation, computed with PBE-GGA.

Geometry as POSCAR:
```
CsTa3N
1.0
4.457 0.000 0.000
0.000 4.457 0.000
0.000 0.000 4.457
Cs Ta N
1 3 1
Direct
0.000 0.000 0.000
0.000 0.500 0.500
0.500 0.000 0.500
0.500 0.500 0.000
0.500 0.500 0.500
```

Raw formation energy: 100 kJ per mole of atoms
Distance to the lowest polymorph of the same formula: 0 meV per atom
Total magnetic moment: 0.00 Bohr magnetons per cell

=====

GdThZnRu after structural relaxation, computed with PBE-GGA.

Geometry as POSCAR:
```
GdThZnRu
1.0
0.000 3.564 3.564
3.564 0.000 3.564
3.564 3.564 0.000
Gd Th Zn Ru
1 1 1 1
Direct
0.000 0.000 0.000
0.500 0.500 0.500
0.750 0.750 0.750
0.250 0.250 0.250
```

Energy of formation: -0.304 eV/atom
Total magnetic moment: 6.99 Bohr magnetons per cell

=====

Sequential electronic total energy output: -6.28, -3.24, -5.62, -2.33, -7.91, -8.32 eV/atom